#P
VASP calculation (PBE) on a relaxed structure of AcPm3S4.

Summary:
- Symmetry: P6_3/mmc, No. 194
- Magnetic moment: 0.039 μB/atom
- DOS at the Fermi energy: 0.594 states/eV per atom

Lattice parameters (Å, degrees): 4.0776 4.0776 27.2267 90.00 90.00 120.00
Last column: magnetic moment on the atom in μB.
Fractional coordinates of all 16 atoms:
S  0.6667  0.3333  0.5597  0.00
Ac  0.6667  0.3333  0.7500  0.08
S  0.0000  0.0000  0.1792  0.00
S  0.0000  0.0000  0.3208  0.00
S  0.3333  0.6667  0.0597  0.00
Pm  0.3333  0.6667  0.8811  0.00
Ac  0.3333  0.6667  0.2500  0.08
Pm  0.0000  0.0000  0.5000  0.02
S  0.0000  0.0000  0.8208  0.00
Pm  0.3333  0.6667  0.6189  0.00
S  0.0000  0.0000  0.6792  0.00
S  0.6667  0.3333  0.9403  0.00
Pm  0.0000  0.0000  0.0000  0.02
S  0.3333  0.6667  0.4403  0.00
Pm  0.6667  0.3333  0.1189  0.00
Pm  0.6667  0.3333  0.3811  0.00

***

#Q
VASP calculation (PBE) on a relaxed structure of AcPm3S4.

Summary:
- Symmetry: Pm-3m, No. 221
- Magnetic moment: 0.000 μB/atom
- DOS at the Fermi energy: 0.587 states/eV per atom

Lattice parameters (Å, degrees): 5.8177 5.8177 5.8177 90.00 90.00 90.00
Fractional coordinates of all 8 atoms:
S  0.5000  0.0000  0.0000
S  0.5000  0.5000  0.5000
Pm  0.5000  0.5000  0.0000
S  0.0000  0.5000  0.0000
S  0.0000  0.0000  0.5000
Pm  0.0000  0.5000  0.5000
Ac  0.0000  0.0000  0.0000
Pm  0.5000  0.0000  0.5000

***

In terms of stability, #P leads; the second structure lies 0.025 eV/atom higher.

***

#P
VASP calculation (PBE) on a relaxed structure of AcPm3Sb4.

Summary:
- Symmetry: Cmmm, No. 65
- Magnetic moment: 0.000 μB/atom
- DOS at the Fermi energy: 0.111 states/eV per atom

Lattice parameters (Å, degrees): 4.5746 7.9199 7.9199 109.43 90.00 90.00
Fractional coordinates of all 8 atoms:
Ac  0.5000  0.0000  0.0000
Pm  0.5000  0.5000  0.5000
Sb  0.5000  0.7446  0.2554
Sb  0.5000  0.2554  0.7446
Pm  0.0000  0.0000  0.5000
Sb  0.0000  0.7389  0.7389
Sb  0.0000  0.2611  0.2611
Pm  0.0000  0.5000  0.0000

***

#Q
VASP calculation (PBE) on a relaxed structure of AcPm3Sb4.

Summary:
- Symmetry: Pm-3m, No. 221
- Magnetic moment: 0.000 μB/atom
- DOS at the Fermi energy: 0.109 states/eV per atom

Lattice parameters (Å, degrees): 6.4729 6.4729 6.4729 90.00 90.00 90.00
Fractional coordinates of all 8 atoms:
Pm  0.0000  0.5000  0.5000
Sb  0.5000  0.0000  0.0000
Sb  0.5000  0.5000  0.5000
Ac  0.0000  0.0000  0.0000
Sb  0.0000  0.0000  0.5000
Pm  0.5000  0.5000  0.0000
Sb  0.0000  0.5000  0.0000
Pm  0.5000  0.0000  0.5000

***

In terms of stability, #P leads; the second structure lies 0.015 eV/atom higher.

***

#P
VASP calculation (PBE) on a relaxed structure of AcPmSb.

Summary:
- Symmetry: F-43m, No. 216
- Magnetic moment: 0.000 μB/atom
- DOS at the Fermi energy: 0.948 states/eV per atom

Lattice parameters (Å, degrees): 5.4030 5.4030 5.4030 60.00 60.00 60.00
Fractional coordinates of all 3 atoms:
Pm  0.0000  0.0000  0.0000
Sb  0.2500  0.2500  0.2500
Ac  0.5000  0.5000  0.5000

***

#Q
VASP calculation (PBE) on a relaxed structure of AcPmSb.

Summary:
- Symmetry: I4mm, No. 107
- Magnetic moment: 0.149 μB/atom
- DOS at the Fermi energy: 1.225 states/eV per atom

Lattice parameters (Å, degrees): 4.1946 4.1946 6.4970 108.83 108.83 90.00
Last column: magnetic moment on the atom in μB.
Fractional coordinates of all 3 atoms:
Pm  0.3625  0.3625  0.7250  0.10
Ac  0.6572  0.6572  0.3144  0.07
Sb  0.9803  0.9803  0.9606  0.00

***

#R
VASP calculation (PBE) on a relaxed structure of AcPmSb.

Summary:
- Symmetry: P4/nmm, No. 129
- Magnetic moment: 0.005 μB/atom
- DOS at the Fermi energy: 1.180 states/eV per atom

Lattice parameters (Å, degrees): 4.7575 4.7571 9.1671 90.01 90.01 90.00
Fractional coordinates of all 6 atoms:
Ac  0.3137  0.3666  0.2718
Pm  0.8136  0.3665  0.9196
Sb  0.8137  0.8666  0.1826
Ac  0.8135  0.8664  0.5674
Sb  0.3135  0.3664  0.6566
Pm  0.3136  0.8665  0.9196

***

#S
VASP calculation (PBE) on a relaxed structure of AcPmSb.

Summary:
- Symmetry: P3m1, No. 156
- Magnetic moment: 0.000 μB/atom
- DOS at the Fermi energy: 1.259 states/eV per atom

Lattice parameters (Å, degrees): 4.3971 5.3096 5.3096 120.00 90.00 90.00
Fractional coordinates of all 3 atoms:
Pm  0.1456  0.0000  0.0000
Ac  0.6531  0.3333  0.6667
Sb  0.2013  0.6667  0.3333

***

In terms of stability, #R leads; the second structure lies 0.177 eV/atom higher.